# 1
3
Lattice="3.7349 0.0000 0.0000 0.0000 4.3435 0.0000 0.0000 0.0000 5.2477" Properties=species:S:1:pos:R:3 comment="PBE-GGA NdErSe, relaxed" magmom_total_mub_per_fu=0.00 dos_ef_per_ev_fu=3.440 polymorph_energy_mev_per_atom=263.4 pbc="T T T"
Nd 0.0000 0.0000 0.0000
Er 0.0000 2.1718 2.6239
Se 1.8674 0.0000 2.6239

***

# 2
14
Lattice="-4.4316 4.4316 4.4928 4.4316 -4.4316 4.4928 4.4316 4.4316 -4.4928" Properties=species:S:1:pos:R:3 comment="PBE-GGA Nd5ErSe8, relaxed" magmom_total_mub_per_fu=0.00 dos_ef_per_ev_fu=9.498 pbc="T T T"
Nd 0.0000 0.0000 0.0000
Nd 5.4695 2.2084 -1.1089
Nd 2.2084 3.3936 1.1089
Nd -1.0379 2.2231 3.3839
Nd 2.2231 1.0379 5.6017
Er 4.4316 0.0000 2.2464
Se 2.8751 0.6721 -0.4447
Se 2.7949 3.8021 -1.8139
Se 1.6367 0.6295 2.6789
Se 3.7594 -1.5565 4.9375
Se 5.0610 2.7949 1.8139
Se 0.6721 5.9880 0.4447
Se 1.5565 3.7594 4.0481
Se -0.6295 1.6367 6.3067

***

Which E belongs to each record? In order, -5.098, -5.851 eV/atom.